Record 1
6
Lattice="4.767 0.000 0.000 -2.383 4.128 0.000 0.000 0.000 9.570" Properties=species:S:1:pos:R:3 comment="Tl2AgTe2Au, relaxed, DFT PBE" spacegroup=P-6m2 crystal_system=hexagonal mass_density_g_cm3=8.543 total_energy_ev_per_atom=-3.07 pbc="T T T"
Tl 0.000 0.000 2.388
Tl 0.000 0.000 7.182
Ag 0.000 2.752 0.000
Te 0.000 2.752 4.785
Te 2.383 1.376 0.000
Au 2.383 1.376 4.785

---

Record 2
3
Lattice="0.000 3.383 3.383 3.383 0.000 3.383 3.383 3.383 0.000" Properties=species:S:1:pos:R:3 comment="ThAgAu, relaxed, DFT PBE" spacegroup=F-43m de_polymorph_ev_per_fu=0.986 crystal_system=cubic mass_density_g_cm3=11.513 formation_enthalpy_0k_mev_per_atom=-136.8 pbc="T T T"
Th 0.000 0.000 0.000
Ag 5.074 5.074 5.074
Au 3.383 3.383 3.383

---

Record 3
3
Lattice="4.836 0.000 0.000 -2.418 4.188 0.000 0.000 0.000 3.406" Properties=species:S:1:pos:R:3 comment="ThAgAu, relaxed, DFT PBE" spacegroup=P-6m2 de_polymorph_ev_per_fu=0.000 crystal_system=hexagonal mass_density_g_cm3=12.925 formation_enthalpy_0k_mev_per_atom=-465.6 pbc="T T T"
Th 0.000 0.000 0.000
Ag 0.000 2.792 1.703
Au 2.418 1.396 1.703